# 1
## TaReMo4 (GGA-PBE)

Data for crystalline TaReMo4 at its relaxed geometry.

* relative energy among the computed polymorphs: 207.8 meV per atom

Cell: 4.8530 4.8530 9.0014 Å, 90.00 90.00 112.75°
Sites, in units of the cell vectors:
Ta 0.0000 0.5000 0.0000
Ta 0.5000 0.0000 0.5000
Re 0.0000 0.0000 0.2500
Re 0.0000 0.0000 0.7500
Mo 0.1624 0.3329 0.5000
Mo 0.3329 0.1624 0.0000
Mo 0.3326 0.6674 0.2500
Mo 0.3326 0.6674 0.7500
Mo 0.6674 0.3326 0.2500
Mo 0.6674 0.3326 0.7500
Mo 0.6671 0.8376 0.0000
Mo 0.8376 0.6671 0.5000

# 2
## TaReMo2 (GGA-PBE)

Data for crystalline TaReMo2 at its relaxed geometry.

* relative energy among the computed polymorphs: 114.0 meV per atom

Cell: 3.1817 4.5267 8.9645 Å, 90.00 90.00 90.00°
Sites, in units of the cell vectors:
Ta 0.0000 0.0000 0.0000
Ta 0.5000 0.5000 0.0000
Re 0.0000 0.5000 0.7483
Re 0.5000 0.0000 0.7483
Mo 0.0000 0.0000 0.5039
Mo 0.0000 0.5000 0.2571
Mo 0.5000 0.0000 0.2571
Mo 0.5000 0.5000 0.5039

# 3
## TaReMo3 (GGA-PBE)

Data for crystalline TaReMo3 at its relaxed geometry.

* relative energy among the computed polymorphs: 1428.2 meV per atom

Cell: 4.6842 4.6842 4.6842 Å, 90.00 90.00 90.00°
Sites, in units of the cell vectors:
Ta 0.0000 0.0000 0.0000
Re 0.5000 0.5000 0.5000
Mo 0.0000 0.5000 0.5000
Mo 0.5000 0.0000 0.5000
Mo 0.5000 0.5000 0.0000

# 4
## Ta3ReMo2 (GGA-PBE)

Data for crystalline Ta3ReMo2 at its relaxed geometry.

Cell: 3.2173 3.2173 9.6849 Å, 90.00 90.00 90.00°
Sites, in units of the cell vectors:
Ta 0.0000 0.0000 0.0000
Ta 0.0000 0.0000 0.3349
Ta 0.0000 0.0000 0.6651
Re 0.5000 0.5000 0.5000
Mo 0.5000 0.5000 0.1673
Mo 0.5000 0.5000 0.8327

# 5
## TaReMo2 (GGA-PBE)

Data for crystalline TaReMo2 at its relaxed geometry.

* relative energy among the computed polymorphs: 150.1 meV per atom

Cell: 3.1819 4.5206 8.9912 Å, 90.00 90.00 90.00°
Sites, in units of the cell vectors:
Ta 0.0000 0.0000 0.0000
Ta 0.5000 0.5000 0.0000
Re 0.0000 0.0000 0.5000
Re 0.5000 0.5000 0.5000
Mo 0.0000 0.5000 0.2570
Mo 0.0000 0.5000 0.7430
Mo 0.5000 0.0000 0.2570
Mo 0.5000 0.0000 0.7430

# 6
## TaReMo2 (GGA-PBE)

Data for crystalline TaReMo2 at its relaxed geometry.

* relative energy among the computed polymorphs: 62.8 meV per atom

Cell: 2.7736 4.4927 5.2581 Å, 90.00 100.31 90.00°
Sites, in units of the cell vectors:
Ta 0.0000 0.0000 0.0000
Re 0.5000 0.0000 0.5000
Mo 0.2521 0.5000 0.7480
Mo 0.7479 0.5000 0.2520

# 7
## Ta6Re5Mo (GGA-PBE)

Data for crystalline Ta6Re5Mo at its relaxed geometry.

Cell: 7.1727 7.1727 6.4020 Å, 90.00 90.00 143.11°
Sites, in units of the cell vectors:
Ta 0.0000 0.0000 0.2503
Ta 0.0000 0.0000 0.7497
Ta 0.3333 0.6667 0.2501
Ta 0.3333 0.6667 0.7499
Ta 0.6667 0.3333 0.2501
Ta 0.6667 0.3333 0.7499
Re 0.1672 0.8328 0.0000
Re 0.1670 0.8330 0.5000
Re 0.5000 0.5000 0.0000
Re 0.8328 0.1672 0.0000
Re 0.8330 0.1670 0.5000
Mo 0.5000 0.5000 0.5000

# 8
## Ta2ReMo2 (GGA-PBE)

Data for crystalline Ta2ReMo2 at its relaxed geometry.

Cell: 3.2241 16.8284 3.1742 Å, 90.00 90.00 90.00°
Sites, in units of the cell vectors:
Ta 0.0000 0.0958 0.0000
Ta 0.0000 0.9042 0.0000
Ta 0.5000 0.4042 0.0000
Ta 0.5000 0.5958 0.0000
Re 0.0000 0.5000 0.5000
Re 0.5000 0.0000 0.5000
Mo 0.0000 0.3069 0.5000
Mo 0.0000 0.6931 0.5000
Mo 0.5000 0.1931 0.5000
Mo 0.5000 0.8069 0.5000

# 9
## Ta7Re2Mo2 (GGA-PBE)

Data for crystalline Ta7Re2Mo2 at its relaxed geometry.

Cell: 4.5390 5.6605 7.7175 Å, 87.93 89.89 89.78°
Sites, in units of the cell vectors:
Ta 0.0000 0.0000 0.0000
Ta 0.0003 0.4355 0.1793
Ta 0.9997 0.5645 0.8207
Ta 0.5005 0.0958 0.3219
Ta 0.5001 0.3977 0.6641
Ta 0.4999 0.6023 0.3359
Ta 0.4995 0.9042 0.6781
Re 0.0007 0.2370 0.4982
Re 0.9993 0.7630 0.5018
Mo 0.4995 0.2581 0.9974
Mo 0.5005 0.7419 0.0026

# 10
## TaReMo3 (GGA-PBE)

Data for crystalline TaReMo3 at its relaxed geometry.

* relative energy among the computed polymorphs: 133.6 meV per atom

Cell: 5.2017 8.5694 7.6928 Å, 90.00 90.00 90.00°
Sites, in units of the cell vectors:
Ta 0.2258 0.2500 0.1550
Ta 0.2742 0.7500 0.6550
Ta 0.7258 0.2500 0.3450
Ta 0.7742 0.7500 0.8450
Re 0.0000 0.0000 0.5000
Re 0.0000 0.5000 0.5000
Re 0.5000 0.0000 0.0000
Re 0.5000 0.5000 0.0000
Mo 0.0617 0.0500 0.8372
Mo 0.0617 0.4500 0.8372
Mo 0.2448 0.7500 0.0398
Mo 0.2552 0.2500 0.5398
Mo 0.4383 0.5500 0.3372
Mo 0.4383 0.9500 0.3372
Mo 0.5617 0.0500 0.6628
Mo 0.5617 0.4500 0.6628
Mo 0.7448 0.7500 0.4602
Mo 0.7552 0.2500 0.9602
Mo 0.9383 0.5500 0.1628
Mo 0.9383 0.9500 0.1628

# 11
## TaReMo2 (GGA-PBE)

Data for crystalline TaReMo2 at its relaxed geometry.

* relative energy among the computed polymorphs: 3.3 meV per atom

Cell: 3.1861 4.4903 4.5057 Å, 90.00 90.00 90.00°
Sites, in units of the cell vectors:
Ta 0.0000 0.0000 0.0000
Re 0.5000 0.5000 0.0000
Mo 0.0000 0.5000 0.5000
Mo 0.5000 0.0000 0.5000

# 12
## TaReMo4 (GGA-PBE)

Data for crystalline TaReMo4 at its relaxed geometry.

* relative energy among the computed polymorphs: 324.3 meV per atom

Cell: 5.1966 5.1966 5.1966 Å, 60.00 60.00 60.00°
Sites, in units of the cell vectors:
Ta 0.0000 0.0000 0.0000
Re 0.2500 0.2500 0.2500
Mo 0.1231 0.6256 0.6256
Mo 0.6256 0.1231 0.6256
Mo 0.6256 0.6256 0.1231
Mo 0.6256 0.6256 0.6256

| no. | formation enthalpy at 0 K (meV per atom) |
| --- | --- |
| 1 | 141 |
| 2 | -57 |
| 3 | 1649 |
| 4 | -286 |
| 5 | -21 |
| 6 | -109 |
| 7 | -398 |
| 8 | 128 |
| 9 | 199 |
| 10 | 354 |
| 11 | -168 |
| 12 | 257 |